! Ac3La7Tl2 (PBE-GGA, optimized geometry); values from VASP
&SYSTEM
  ibrav = 0, nat = 12, ntyp = 3
/
ATOMIC_SPECIES
Ac 227.00 Ac.upf
La 138.91 La.upf
Tl 204.38 Tl.upf
CELL_PARAMETERS angstrom
5.2552 0.0000 0.0000
0.0000 4.8624 0.0000
-2.6178 0.0000 18.0135
ATOMIC_POSITIONS crystal
Ac 0.0000 0.0000 0.0000
Ac 0.3267 0.5000 0.6529
Ac 0.6733 0.5000 0.3471
La 0.0771 0.5000 0.1557
La 0.2263 0.0000 0.4517
La 0.4215 0.0000 0.8417
La 0.5000 0.5000 0.0000
La 0.5785 0.0000 0.1583
La 0.7737 0.0000 0.5483
La 0.9229 0.5000 0.8443
Tl 0.1388 0.0000 0.2787
Tl 0.8612 0.0000 0.7213
! - E (eV for the cell shown) = -51.75
! - space-group type = P2/m, No. 10
! - M_tot (μB per atom) = 0.000
! - energy of formation from the pure elements (eV per atom) = -0.016